{
  "formula": "Sm4YHo6",
  "functional": "PBE",
  "state": "relaxed",
  "rho_g_cm3": 7.27,
  "formation_energy_ev_per_atom": 0.45,
  "lattice_angstrom": [[-3.837, 3.837, 6.515], [3.837, -3.837, 6.515], [3.837, 3.837, -6.515]],
  "species": ["Sm", "Sm", "Sm", "Sm", "Y", "Ho", "Ho", "Ho", "Ho", "Ho", "Ho"],
  "fractional_positions": [[0.252, 0.252, 0.655], [0.403, 0.748, 0.000], [0.597, 0.597, 0.345], [0.748, 0.403, 0.000], [0.000, 0.000, 0.000], [0.000, 0.500, 0.500], [0.061, 0.570, 0.000], [0.430, 0.430, 0.491], [0.500, 0.000, 0.500], [0.570, 0.061, 0.000], [0.939, 0.939, 0.509]]
}



{
  "formula": "Ni2HSe",
  "functional": "PBE",
  "state": "relaxed",
  "e_tot_ev_per_atom": -4.23,
  "rho_g_cm3": 7.47,
  "lattice_angstrom": [[0.000, 2.799, 2.799], [2.799, 0.000, 2.799], [2.799, 2.799, 0.000]],
  "species": ["Ni", "Ni", "H", "Se"],
  "fractional_positions": [[0.250, 0.250, 0.250], [0.750, 0.750, 0.750], [0.000, 0.000, 0.000], [0.500, 0.500, 0.500]]
}



{
  "formula": "AlIn3Ag",
  "functional": "PBE",
  "state": "relaxed",
  "rho_g_cm3": 5.25,
  "formation_energy_ev_per_atom": 0.45,
  "lattice_angstrom": [[5.331, 0.000, 0.000], [0.000, 5.331, 0.000], [0.000, 0.000, 5.331]],
  "species": ["Al", "In", "In", "In", "Ag"],
  "fractional_positions": [[0.000, 0.000, 0.000], [0.000, 0.000, 0.500], [0.000, 0.500, 0.000], [0.500, 0.000, 0.000], [0.500, 0.500, 0.500]]
}



{
  "formula": "TaW2Au",
  "functional": "PBE",
  "state": "relaxed",
  "rho_g_cm3": 16.63,
  "formation_energy_ev_per_atom": 1.00,
  "lattice_angstrom": [[-3.694, 3.694, 2.729], [3.694, -3.694, 2.729], [3.694, 3.694, -2.729]],
  "species": ["Ta", "Ta", "W", "W", "W", "W", "Au", "Au"],
  "fractional_positions": [[0.000, 0.000, 0.000], [0.750, 0.250, 0.500], [0.124, 0.625, 0.999], [0.375, 0.374, 0.499], [0.626, 0.125, 0.001], [0.875, 0.876, 0.501], [0.250, 0.750, 0.500], [0.500, 0.500, 0.000]]
}